Here is crystalline Sr2La2MgMnO8 at its relaxed geometry from Alexandria. Energies are from PBE+U.

## Properties
DFT total energy (eV/atom): -7.119
Energy above the most stable polymorph in this dataset (meV per atom): 76

Lattice parameters (Å, degrees): 3.892 3.892 12.541 90.00 90.00 90.00
Each line ends with the local moment (μB).
Fractional positions:
1 O 0.000 0.000 0.829  -0.02
2 Mn 0.500 0.500 0.500  3.42
3 O 0.000 0.500 0.000  -0.02
4 O 0.000 0.500 0.500  -0.04
5 La 0.500 0.500 0.859  0.00
6 Sr 0.000 0.000 0.361  0.00
7 O 0.500 0.000 0.000  -0.02
8 O 0.500 0.500 0.336  -0.07
9 Sr 0.000 0.000 0.639  0.00
10 Mg 0.000 0.000 0.000  0.00
11 O 0.500 0.000 0.500  -0.04
12 O 0.000 0.000 0.171  -0.02
13 La 0.500 0.500 0.141  0.00
14 O 0.500 0.500 0.664  -0.07